PBE with a Hubbard U Li3Co4O8, relaxed; energy above the lowest structure with this stoichiometry = 0.0 meV/atom; total DFT energy (no corrections) = -5.706 eV/atom; V = 8.85 Å³/atom
1.0
2.829 1.633 4.786
-2.829 1.633 4.786
0.000 -3.267 4.786
Li Co O
3 4 8
Direct
0.000 0.500 0.500 Li
0.500 0.000 0.500 Li
0.500 0.500 0.000 Li
0.000 0.000 0.500 Co
0.000 0.500 0.000 Co
0.500 0.000 0.000 Co
0.500 0.500 0.500 Co
0.239 0.239 0.239 O
0.244 0.733 0.733 O
0.267 0.267 0.756 O
0.267 0.756 0.267 O
0.733 0.244 0.733 O
0.733 0.733 0.244 O
0.756 0.267 0.267 O
0.761 0.761 0.761 O